# 1
ErIrO5 | Alexandria via LeMat-Bulk | PBE | relaxed; crystal system = orthorhombic; energy relative to the elements, uncorrected = -1556 meV per atom; SG = No. 74
1.0
-4.539 1.601 3.962
-1.082 -5.029 -3.522
-1.100 -3.943 4.701
O Ir Er
10 2 2
Direct
0.798 0.298 0.500
0.750 0.858 0.392
0.702 0.702 0.000
0.643 0.204 0.153
0.143 0.796 0.060
0.298 0.298 0.000
0.202 0.702 0.500
0.857 0.204 0.940
0.357 0.796 0.847
0.250 0.142 0.608
0.000 0.000 0.000
0.500 0.000 0.500
0.250 0.417 0.333
0.750 0.583 0.667


# 2
CuH2Pd4 | Alexandria via LeMat-Bulk | PBE | relaxed; excess energy over the best structure of this formula in the dataset = 2 kJ/mol of formula units; crystal system = triclinic; SG = No. 1
1.0
-4.355 -1.774 3.317
2.608 -2.765 -3.067
5.464 0.775 5.104
Pd H Cu
8 4 2
Direct
0.802 0.316 0.355
0.009 0.538 0.752
0.196 0.722 0.151
0.697 0.711 0.145
0.900 0.913 0.547
0.295 0.321 0.349
0.507 0.536 0.748
0.603 0.116 0.953
0.620 0.264 0.745
0.124 0.269 0.754
0.473 0.226 0.177
0.550 0.801 0.324
0.091 0.112 0.958
0.383 0.904 0.542


# 3
Ce2BeAs3 | Alexandria via LeMat-Bulk | PBE | relaxed; ΔE_f = -1033 meV per atom; crystal system = orthorhombic; SG = No. 62
1.0
4.072 0.000 0.000
0.000 8.028 0.000
0.000 0.000 16.013
Ce As Be
8 12 4
Direct
0.250 0.247 0.960
0.250 0.893 0.287
0.250 0.747 0.540
0.750 0.107 0.713
0.750 0.253 0.460
0.750 0.607 0.787
0.750 0.753 0.040
0.250 0.393 0.213
0.750 0.380 0.072
0.250 0.998 0.104
0.750 0.002 0.896
0.250 0.620 0.928
0.750 0.880 0.428
0.750 0.502 0.604
0.250 0.498 0.396
0.750 0.664 0.222
0.250 0.836 0.722
0.750 0.164 0.278
0.250 0.336 0.778
0.250 0.120 0.572
0.750 0.623 0.364
0.250 0.877 0.864
0.250 0.377 0.636
0.750 0.123 0.136


# 4
HoPaFePd | Alexandria via LeMat-Bulk | PBE | relaxed; ΔE_f = -200 meV per atom; crystal system = cubic; SG = No. 216
1.0
4.850 0.000 0.000
2.425 4.200 0.000
2.425 1.400 3.960
Ho Pd Pa Fe
1 1 1 1
Direct
0.750 0.750 0.750
0.000 0.000 0.000
0.250 0.250 0.250
0.500 0.500 0.500


# 5
HfTiCo2Te | Alexandria via LeMat-Bulk | PBE | relaxed; crystal system = tetragonal; energy relative to the elements, uncorrected = 1002 meV per atom; SG = No. 123
1.0
-3.597 -2.610 0.984
1.805 -3.704 -3.226
2.306 -1.878 3.446
Te Co Hf Ti
1 2 1 1
Direct
0.000 0.000 0.000
0.500 0.000 0.000
0.000 0.000 0.500
0.000 0.500 0.000
0.500 0.500 0.500


# 6
TbHo2Tm2 | Alexandria via LeMat-Bulk | PBE | relaxed; ΔE_f = 23 meV per atom; excess energy over the best structure of this formula in the dataset = 0 kJ/mol of formula units; crystal system = triclinic; SG = No. 2
1.0
-2.532 -3.767 -2.009
4.121 2.481 -3.711
7.653 -7.114 3.734
Ho Tb Tm
4 2 4
Direct
0.550 0.100 0.850
0.450 0.900 0.150
0.650 0.299 0.550
0.350 0.701 0.450
0.750 0.500 0.250
0.250 0.500 0.750
0.850 0.700 0.950
0.050 0.101 0.350
0.950 0.899 0.650
0.150 0.300 0.050


# 7
BeCoRe3 | Alexandria via LeMat-Bulk | PBE | relaxed; ΔE_f = 866 meV per atom; excess energy over the best structure of this formula in the dataset = 0 kJ/mol of formula units; crystal system = cubic; SG = No. 221
1.0
4.078 0.000 0.000
0.000 4.078 0.000
0.000 0.000 4.078
Re Co Be
3 1 1
Direct
0.000 0.500 0.000
0.500 0.000 0.000
0.000 0.000 0.500
0.500 0.500 0.500
0.000 0.000 0.000


no.,E_tot (eV per atom)
1,-7.0154
2,-4.5724
3,-5.9571
4,-7.1322
5,-6.0385
6,-4.5232
7,-8.7690